Entry 1:
# GGA-PBEsol RbCrF5, relaxed
data_RbCrF5
_cell_length_a 5.469
_cell_length_b 7.674
_cell_length_c 10.160
_cell_angle_alpha 90.00
_cell_angle_beta 90.00
_cell_angle_gamma 90.00
_symmetry_space_group_name_H-M 'P m c 21'
_symmetry_Int_Tables_number 26
loop_
_symmetry_equiv_pos_as_xyz
'x,y,z'
'-x,-y,z+1/2'
'-x,y,z'
'x,-y,z+1/2'
loop_
_atom_site_label
_atom_site_type_symbol
_atom_site_fract_x
_atom_site_fract_y
_atom_site_fract_z
_atom_site_occupancy
Rb1 Rb 0.000 0.118 0.000 1
Rb2 Rb 0.500 0.360 0.656 1
Cr1 Cr 0.000 0.424 0.364 1
Cr2 Cr 0.500 0.128 0.262 1
F1 F 0.000 0.245 0.475 1
F2 F 0.000 0.414 0.737 1
F3 F 0.234 0.462 0.951 1
F4 F 0.248 0.307 0.261 1
F5 F 0.268 0.036 0.757 1
F6 F 0.500 0.142 0.437 1
F7 F 0.500 0.155 0.088 1
# Formation energy (no corrections), eV per atom: -2.652
# V, A^3/atom: 15.2

=====

Entry 2:
# GGA-PBEsol RbCrSi2F, relaxed
data_RbCrSi2F
_cell_length_a 4.488
_cell_length_b 4.488
_cell_length_c 4.892
_cell_angle_alpha 90.00
_cell_angle_beta 90.00
_cell_angle_gamma 90.00
_symmetry_space_group_name_H-M 'P 4/m m m'
_symmetry_Int_Tables_number 123
_symmetry_space_group_name_Hall '-P 4 2'
loop_
_atom_site_label
_atom_site_type_symbol
_atom_site_fract_x
_atom_site_fract_y
_atom_site_fract_z
_atom_site_occupancy
Rb1 Rb 0.000 0.000 0.000 1
Cr1 Cr 0.500 0.500 0.000 1
Si1 Si 0.000 0.500 0.500 1
F1 F 0.000 0.000 0.500 1
# Formation energy (no corrections), eV per atom: 0.416
# V, A^3/atom: 19.7

=====

Entry 3:
# GGA-PBEsol CrRuS2F, relaxed
data_CrRuS2F
_cell_length_a 4.590
_cell_length_b 4.590
_cell_length_c 3.551
_cell_angle_alpha 90.00
_cell_angle_beta 90.00
_cell_angle_gamma 90.00
_symmetry_space_group_name_H-M 'P 4/m m m'
_symmetry_Int_Tables_number 123
_symmetry_space_group_name_Hall '-P 4 2'
loop_
_atom_site_label
_atom_site_type_symbol
_atom_site_fract_x
_atom_site_fract_y
_atom_site_fract_z
_atom_site_occupancy
Cr1 Cr 0.000 0.000 0.000 1
Ru1 Ru 0.500 0.500 0.000 1
S1 S 0.000 0.500 0.500 1
F1 F 0.000 0.000 0.500 1
# Formation energy (no corrections), eV per atom: 0.611
# V, A^3/atom: 15.0

=====

> Which value of V does entry 3 give?

15.0 A^3/atom